# 1
CaOs2Ru GGA-PBE relaxed; SG = No. 225; total magnetic moment = 1.842 Bohr magnetons per cell; calculated total energy = -7.59 eV/atom; excess energy over the best structure of this formula in the dataset = 0.4364 eV per atom; density of states at the Fermi level = 2.66 states/eV/f.u.; DFT formation energy = 842.6 meV/atom
1.0
0.0144 -4.3365 1.2475
-2.6416 -1.3821 3.3872
-3.5845 -2.6049 -0.8527
Ca Os Ru
1 2 1
Direct
0.0000 0.0000 0.0000
0.2500 0.2500 0.2500
0.7500 0.7500 0.7500
0.5000 0.5000 0.5000

# 2
Al2PdAu4 GGA-PBE relaxed; SG = No. 122; total magnetic moment = 0.000 Bohr magnetons per cell; calculated total energy = -3.92 eV/atom; excess energy over the best structure of this formula in the dataset = 0.0000 eV per atom; density of states at the Fermi level = 2.44 states/eV/f.u.; DFT formation energy = -234.0 meV/atom
1.0
6.8448 0.0164 -0.0284
-2.2651 6.4592 0.0284
-2.3147 -3.2203 5.5790
Au Al Pd
8 4 2
Direct
0.9786 0.5816 0.7215
0.6100 0.7570 0.5285
0.7714 0.2430 0.8530
0.4715 0.0816 0.2286
0.6030 0.7430 0.0214
0.2785 0.2570 0.8600
0.1470 0.9184 0.3900
0.1400 0.4184 0.3970
0.8750 0.1073 0.4823
0.3750 0.8927 0.7677
0.5177 0.3927 0.6250
0.2323 0.6073 0.1250
0.0000 0.0000 0.0000
0.7500 0.5000 0.2500

# 3
HfAlPCl2 GGA-PBE relaxed; SG = No. 123; total magnetic moment = 1.261 Bohr magnetons per cell; calculated total energy = -4.59 eV/atom; excess energy over the best structure of this formula in the dataset = 0.4842 eV per atom; E_form (uncorrected) = -0.69 kcal/mol of atoms; density of states at the Fermi level = 4.16 states/eV/f.u.
1.0
-2.6474 3.6269 0.3270
-3.6387 -2.6506 -0.0607
0.1605 -0.3353 5.0192
Cl P Hf Al
2 1 1 1
Direct
0.5000 0.0000 0.0000
0.0000 0.5000 0.0000
0.0000 0.0000 0.5000
0.5000 0.5000 0.5000
0.0000 0.0000 0.0000

# 4
CoCuSe2N GGA-PBE relaxed; SG = No. 123; total magnetic moment = 0.000 Bohr magnetons per cell; calculated total energy = -4.81 eV/atom; excess energy over the best structure of this formula in the dataset = 0.0000 eV per atom; E_form (uncorrected) = 11.36 kcal/mol of atoms; density of states at the Fermi level = 4.68 states/eV/f.u.
1.0
4.9304 0.0000 0.0000
0.0000 4.9304 0.0000
0.0000 0.0000 3.3285
N Se Cu Co
1 2 1 1
Direct
0.0000 0.0000 0.5000
0.0000 0.5000 0.0000
0.5000 0.0000 0.0000
0.5000 0.5000 0.5000
0.0000 0.0000 0.0000

# 5
YIn2Sb2 GGA-PBE relaxed; SG = No. 127; total magnetic moment = 0.000 Bohr magnetons per cell; calculated total energy = -4.19 eV/atom; E_form (uncorrected) = -3.64 kcal/mol of atoms; density of states at the Fermi level = 3.75 states/eV/f.u.
1.0
8.2168 0.0000 0.0000
0.0000 8.2168 0.0000
0.0000 0.0000 4.0750
In Y Sb
4 2 4
Direct
0.1282 0.3718 0.0000
0.3718 0.8718 0.0000
0.8718 0.6282 0.0000
0.6282 0.1282 0.0000
0.0000 0.0000 0.0000
0.5000 0.5000 0.0000
0.3244 0.1756 0.5000
0.1756 0.6756 0.5000
0.6756 0.8244 0.5000
0.8244 0.3244 0.5000

# 6
SrCrCo2 GGA-PBE relaxed; SG = No. 44; total magnetic moment = 5.997 Bohr magnetons per cell; calculated total energy = -5.72 eV/atom; excess energy over the best structure of this formula in the dataset = 0.3404 eV per atom; density of states at the Fermi level = 5.18 states/eV/f.u.; DFT formation energy = 660.1 meV/atom
1.0
-5.1886 1.7310 2.7210
-4.1379 -3.7226 2.5183
5.9477 1.3831 -0.1861
Sr Co Cr
1 2 1
Direct
0.7864 0.2864 0.5000
0.0395 0.0395 0.0000
0.1419 0.6419 0.5000
0.5322 0.5322 0.0000

# 7
TbAg2AsSe4 GGA-PBE relaxed; SG = No. 74; total magnetic moment = 0.000 Bohr magnetons per cell; calculated total energy = -4.21 eV/atom; E_form (uncorrected) = -13.76 kcal/mol of atoms; density of states at the Fermi level = 0.54 states/eV/f.u.
1.0
-0.8333 -7.4998 2.9379
7.9276 -0.1903 1.6404
-4.6988 6.1314 2.8148
Tb Se Ag As
2 8 4 2
Direct
0.0000 0.5000 0.0000
0.0000 0.5000 0.5000
0.7574 0.2390 0.9982
0.7488 0.7513 0.9869
0.7487 0.7512 0.5131
0.7390 0.2574 0.4982
0.2426 0.7610 0.0018
0.2610 0.7426 0.5018
0.2513 0.2488 0.4869
0.2512 0.2487 0.0131
0.5000 0.5000 0.0000
0.5000 0.0000 0.0000
0.5000 0.0000 0.5000
0.0000 0.0000 0.5000
0.0000 0.0000 0.0000
0.5000 0.5000 0.5000

# 8
FeCo2HW GGA-PBE relaxed; SG = No. 123; total magnetic moment = 0.763 Bohr magnetons per cell; calculated total energy = -7.82 eV/atom; excess energy over the best structure of this formula in the dataset = 0.0000 eV per atom; density of states at the Fermi level = 2.80 states/eV/f.u.
1.0
3.6082 0.0000 0.0000
0.0000 3.6082 0.0000
0.0000 0.0000 3.7036
Co W H Fe
2 1 1 1
Direct
0.0000 0.5000 0.0000
0.5000 0.0000 0.0000
0.5000 0.5000 0.5000
0.0000 0.0000 0.0000
0.0000 0.0000 0.5000

# 9
MnTe2Rh GGA-PBE relaxed; SG = No. 119; total magnetic moment = 3.727 Bohr magnetons per cell; calculated total energy = -5.48 eV/atom; E_form (uncorrected) = 5.02 kcal/mol of atoms; density of states at the Fermi level = 3.24 states/eV/f.u.
1.0
-3.9514 -3.0343 2.8978
-2.6319 -4.5325 -2.3974
5.3239 2.0806 0.7380
Te Rh Mn
2 1 1
Direct
0.0000 0.0000 0.0000
0.2500 0.7500 0.5000
0.7500 0.2500 0.5000
0.5000 0.5000 0.0000

# 10
InSn2F6 GGA-PBE relaxed; SG = No. 64; total magnetic moment = 0.000 Bohr magnetons per cell; calculated total energy = -4.61 eV/atom; excess energy over the best structure of this formula in the dataset = 0.0000 eV per atom; E_form (uncorrected) = -50.05 kcal/mol of atoms; density of states at the Fermi level = 1.04 states/eV/f.u.
1.0
-3.0931 0.4542 -5.0994
-0.8170 -5.3385 0.0201
-7.1170 1.1190 7.9246
F Sn In
12 4 2
Direct
0.3014 0.7500 0.1027
0.0992 0.1983 0.1983
0.5373 0.7500 0.5746
0.4627 0.2500 0.4254
0.4008 0.6983 0.8017
0.5992 0.3017 0.1983
0.6986 0.2500 0.8973
0.9627 0.2500 0.4254
0.0373 0.7500 0.5746
0.9008 0.8017 0.8017
0.8014 0.7500 0.1027
0.1986 0.2500 0.8973
0.3369 0.9937 0.6738
0.6631 0.0063 0.3262
0.8369 0.5063 0.6738
0.1631 0.4937 0.3262
0.5000 0.5000 0.0000
0.0000 0.0000 0.0000

# 11
Mg2SbI GGA-PBE relaxed; SG = No. 225; total magnetic moment = 0.000 Bohr magnetons per cell; calculated total energy = -2.34 eV/atom; excess energy over the best structure of this formula in the dataset = 0.4083 eV per atom; E_form (uncorrected) = -2.85 kcal/mol of atoms; density of states at the Fermi level = 1.47 states/eV/f.u.
1.0
-1.1366 -4.7490 -2.1341
-1.3036 -4.0945 3.1520
-5.0076 -1.8218 0.0674
Mg I Sb
2 1 1
Direct
0.7500 0.7500 0.7500
0.2500 0.2500 0.2500
0.5000 0.5000 0.5000
0.0000 0.0000 0.0000

# 12
Ce3SnH3 GGA-PBE relaxed; SG = No. 148; total magnetic moment = 5.930 Bohr magnetons per cell; calculated total energy = -4.92 eV/atom; excess energy over the best structure of this formula in the dataset = 0.1380 eV per atom; density of states at the Fermi level = 19.01 states/eV/f.u.
1.0
6.7654 0.0000 0.0000
3.3827 5.8590 0.0000
3.3827 1.9530 7.4257
H Ce Sn
6 6 2
Direct
0.1297 0.4744 0.6123
0.2164 0.8703 0.3877
0.5256 0.2164 0.3877
0.8703 0.5256 0.3877
0.4744 0.7836 0.6123
0.7836 0.1297 0.6123
0.7760 0.4225 0.7021
0.4225 0.0994 0.7021
0.9006 0.2240 0.2979
0.5775 0.9006 0.2979
0.2240 0.5775 0.2979
0.0994 0.7760 0.7021
0.6665 0.6665 0.0004
0.3335 0.3335 0.9996

# 13
CrSb2TeRh GGA-PBE relaxed; SG = No. 123; total magnetic moment = 0.002 Bohr magnetons per cell; calculated total energy = -4.92 eV/atom; excess energy over the best structure of this formula in the dataset = 0.0000 eV per atom; E_form (uncorrected) = 17.42 kcal/mol of atoms; density of states at the Fermi level = 3.91 states/eV/f.u.
1.0
4.9266 0.0000 0.0000
0.0000 4.9266 0.0000
0.0000 0.0000 4.9496
Cr Rh Sb Te
1 1 2 1
Direct
0.0000 0.0000 0.0000
0.5000 0.5000 0.5000
0.0000 0.5000 0.0000
0.5000 0.0000 0.0000
0.0000 0.0000 0.5000

# 14
ErNiSn2 GGA-PBE relaxed; SG = No. 166; total magnetic moment = 0.000 Bohr magnetons per cell; calculated total energy = -4.54 eV/atom; density of states at the Fermi level = 3.13 states/eV/f.u.; DFT formation energy = 45.9 meV/atom
1.0
-3.1665 1.1602 -0.4223
-2.2786 -1.8604 -1.7023
-4.5279 -4.5847 7.6783
Ni Er Sn
1 1 2
Direct
0.5000 0.5000 0.5000
0.0000 0.0000 0.0000
0.1060 0.1060 0.6821
0.8940 0.8940 0.3179

# 15
RbLaSb2Te GGA-PBE relaxed; SG = No. 123; total magnetic moment = 0.000 Bohr magnetons per cell; calculated total energy = -2.89 eV/atom; excess energy over the best structure of this formula in the dataset = 0.8510 eV per atom; E_form (uncorrected) = 13.05 kcal/mol of atoms; density of states at the Fermi level = 6.41 states/eV/f.u.
1.0
-1.4369 -2.4128 5.0553
-0.5939 -5.1239 -2.6144
5.7706 -1.2109 1.0623
Sb La Te Rb
2 1 1 1
Direct
0.5000 0.0000 0.0000
0.0000 0.5000 0.0000
0.5000 0.5000 0.5000
0.0000 0.0000 0.5000
0.0000 0.0000 0.0000

# 16
GdErGaNi GGA-PBE relaxed; SG = No. 216; total magnetic moment = 7.146 Bohr magnetons per cell; calculated total energy = -7.31 eV/atom; density of states at the Fermi level = 3.45 states/eV/f.u.; DFT formation energy = -443.6 meV/atom
1.0
-2.4502 -3.5355 -2.4218
1.8710 -1.8960 -4.1561
1.7364 -4.6208 -0.0420
Er Ga Ni Gd
1 1 1 1
Direct
0.5000 0.5000 0.5000
0.7500 0.7500 0.7500
0.2500 0.2500 0.2500
0.0000 0.0000 0.0000

# 17
KNaTeCl2 GGA-PBE relaxed; SG = No. 123; total magnetic moment = 2.000 Bohr magnetons per cell; calculated total energy = -2.42 eV/atom; E_form (uncorrected) = -13.04 kcal/mol of atoms; density of states at the Fermi level = 6.14 states/eV/f.u.
1.0
5.8539 0.0000 0.0000
0.0000 6.3751 0.0000
0.0000 0.0000 5.8539
Cl Na K Te
2 1 1 1
Direct
0.5000 0.0000 0.0000
0.0000 0.0000 0.5000
0.5000 0.5000 0.5000
0.0000 0.0000 0.0000
0.0000 0.5000 0.0000

# 18
AgAs3Br GGA-PBE relaxed; SG = No. 221; total magnetic moment = 0.000 Bohr magnetons per cell; calculated total energy = -2.44 eV/atom; excess energy over the best structure of this formula in the dataset = 0.3078 eV per atom; E_form (uncorrected) = 28.98 kcal/mol of atoms; density of states at the Fermi level = 5.37 states/eV/f.u.
1.0
-3.4368 3.7740 -0.0354
-3.0982 -2.8484 -2.8886
-2.1554 -1.9234 4.2085
Ag Br As
1 1 3
Direct
0.5000 0.5000 0.5000
0.0000 0.0000 0.0000
0.0000 0.0000 0.5000
0.0000 0.5000 0.0000
0.5000 0.0000 0.0000

# 19
HoEr7Pb2 GGA-PBE relaxed; SG = No. 65; total magnetic moment = 0.770 Bohr magnetons per cell; calculated total energy = -4.11 eV/atom; density of states at the Fermi level = 15.45 states/eV/f.u.; DFT formation energy = 285.5 meV/atom
1.0
5.3770 0.0000 0.0000
0.0000 8.9817 -0.1827
0.0000 -4.2151 7.9333
Er Pb Ho
7 2 1
Direct
0.5000 0.3007 0.0599
0.0000 0.7784 0.2216
0.0000 0.2216 0.7784
0.5000 0.5000 0.5000
0.5000 0.0599 0.3007
0.5000 0.9401 0.6993
0.5000 0.6993 0.9401
0.5000 0.3056 0.6944
0.5000 0.6944 0.3056
0.0000 0.0000 0.0000

# 20
Rb3As2Pt GGA-PBE relaxed; SG = No. 12; total magnetic moment = 0.000 Bohr magnetons per cell; calculated total energy = -3.28 eV/atom; excess energy over the best structure of this formula in the dataset = 0.1616 eV per atom; density of states at the Fermi level = 4.12 states/eV/f.u.; DFT formation energy = -242.4 meV/atom
1.0
-3.4524 2.2963 -0.4561
-7.8045 -7.3557 2.9676
-3.2771 1.2227 11.8860
As Rb Pt
4 6 2
Direct
0.5428 0.3813 0.5331
0.1353 0.5304 0.1991
0.8647 0.4696 0.8009
0.4572 0.6187 0.4669
0.6744 0.6830 0.9682
0.8103 0.7789 0.6005
0.9680 0.8229 0.2412
0.3256 0.3170 0.0318
0.1897 0.2211 0.3995
0.0320 0.1771 0.7588
0.4132 0.4813 0.6923
0.5868 0.5187 0.3077